[1]
Computed, not measured: a relaxed structure of Pm2Al3Co at the GGA-PBE level of DFT.

Formation enthalpy at 0 K (eV/atom): -0.40
N(E_F) (states/eV per cell): 4.9
Magnetization (μB per cell): 0.3
Space group: No. 166

POSCAR file:
```
Pm2Al3Co
1.0
2.779 1.605 4.416
-2.779 1.605 4.416
0.000 -3.209 4.416
Pm Al Co
2 3 1
Direct
0.126 0.126 0.126
0.874 0.874 0.874
0.000 0.500 0.500
0.500 0.000 0.500
0.500 0.500 0.000
0.500 0.500 0.500
```

[2]
Computed, not measured: a relaxed structure of Ta3WCl at the GGA-PBE level of DFT.

N(E_F) (states/eV per cell): 8.2
Magnetization (μB per cell): 0.0
E_form (uncorrected) (eV/atom): 1.691
Space group: No. 221

POSCAR file:
```
Ta3WCl
1.0
4.951 0.000 0.000
0.000 4.951 0.000
0.000 0.000 4.951
Ta W Cl
3 1 1
Direct
0.000 0.000 0.500
0.000 0.500 0.000
0.500 0.000 0.000
0.000 0.000 0.000
0.500 0.500 0.500
```

[3]
Computed, not measured: a relaxed structure of Li2LaCuN at the GGA-PBE level of DFT.

N(E_F) (states/eV per cell): 2.3
Magnetization (μB per cell): 0.0
E_form (uncorrected) (eV/atom): -0.323
Energy above the most stable polymorph in this dataset (meV per atom): 0
Space group: No. 123

POSCAR file:
```
Li2LaCuN
1.0
4.242 0.000 0.000
0.000 4.242 0.000
0.000 0.000 4.931
Li La Cu N
2 1 1 1
Direct
0.000 0.500 0.000
0.500 0.000 0.000
0.000 0.000 0.500
0.500 0.500 0.500
0.000 0.000 0.000
```

[4]
Computed, not measured: a relaxed structure of YRhW2 at the GGA-PBE level of DFT.

Formation enthalpy at 0 K (eV/atom): 0.15
N(E_F) (states/eV per cell): 2.4
Magnetization (μB per cell): 0.0
Energy above the most stable polymorph in this dataset (meV per atom): 103
Space group: No. 216

POSCAR file:
```
YRhW2
1.0
0.000 3.282 3.282
3.282 0.000 3.282
3.282 3.282 0.000
Y Rh W
1 1 2
Direct
0.000 0.000 0.000
0.750 0.750 0.750
0.250 0.250 0.250
0.500 0.500 0.500
```